Record 1
ThSb2Pb, relaxed, DFT GGA-PBE; energy above the most stable polymorph in this dataset = 0 meV/atom; formation energy from raw total energies = -0.464 eV per atom; space-group type = P4/mmm
1.0
5.191 0.000 0.000
0.000 5.191 0.000
0.000 0.000 4.229
Th Sb Pb
1 2 1
direct
0.000 0.000 0.000
0.000 0.500 0.500
0.500 0.000 0.500
0.500 0.500 0.000

=====

Record 2
InTe2PdN, relaxed, DFT GGA-PBE; energy above the most stable polymorph in this dataset = 577 meV/atom; formation energy from raw total energies = 1.057 eV per atom; space-group type = P4/mmm
1.0
5.805 0.000 0.000
0.000 5.805 0.000
0.000 0.000 3.948
In Te Pd N
1 2 1 1
direct
0.000 0.000 0.000
0.000 0.500 0.000
0.500 0.000 0.000
0.500 0.500 0.500
0.000 0.000 0.500

=====

Record 3
Ba4AlIr, relaxed, DFT GGA-PBE; energy of formation from the pure elements = 941 meV/atom; space-group type = F-43m
1.0
0.000 4.829 4.829
4.829 0.000 4.829
4.829 4.829 0.000
Ba Al Ir
4 1 1
direct
0.124 0.124 0.124
0.124 0.124 0.627
0.124 0.627 0.124
0.627 0.124 0.124
0.500 0.500 0.500
0.750 0.750 0.750

=====

Record 4
NdSm2Ir, relaxed, DFT GGA-PBE; energy of formation from the pure elements = -442 meV/atom; energy above the most stable polymorph in this dataset = 35 meV/atom; space-group type = Cmcm
1.0
1.967 -6.126 0.000
1.967 6.126 0.000
0.000 0.000 9.608
Nd Sm Ir
2 4 2
direct
0.077 0.923 0.750
0.923 0.077 0.250
0.358 0.642 0.568
0.358 0.642 0.932
0.642 0.358 0.068
0.642 0.358 0.432
0.242 0.758 0.250
0.758 0.242 0.750

=====

Record 5
Y2BeCo5B2, relaxed, DFT GGA-PBE; energy of formation from the pure elements = -229 meV/atom; space-group type = P4/mbm
1.0
8.942 0.000 0.000
0.000 8.942 0.000
0.000 0.000 2.994
Y Be Co B
4 2 10 4
direct
0.178 0.322 0.000
0.322 0.822 0.000
0.678 0.178 0.000
0.822 0.678 0.000
0.000 0.000 0.000
0.500 0.500 0.000
0.000 0.500 0.500
0.066 0.780 0.500
0.220 0.066 0.500
0.280 0.566 0.500
0.434 0.280 0.500
0.500 0.000 0.500
0.566 0.720 0.500
0.720 0.434 0.500
0.780 0.934 0.500
0.934 0.220 0.500
0.120 0.620 0.000
0.380 0.120 0.000
0.620 0.880 0.000
0.880 0.380 0.000

=====

Record 6
ScZnCd3, relaxed, DFT GGA-PBE; energy of formation from the pure elements = 274 meV/atom; energy above the most stable polymorph in this dataset = 363 meV/atom; space-group type = Pm-3m
1.0
4.946 0.000 0.000
0.000 4.946 0.000
0.000 0.000 4.946
Sc Zn Cd
1 1 3
direct
0.000 0.000 0.000
0.500 0.500 0.500
0.000 0.500 0.500
0.500 0.000 0.500
0.500 0.500 0.000

=====

Here are the calculated mass density numbers, same order: 10.0, 6.1, 5.7, 9.1, 7.0, 6.1 (g cm⁻³).